No. 1
Density functional theory data (GGA-PBE) for a relaxed structure of LiYOF2.

## Properties
polymorph energy (0 for the lowest one)	0.0951	eV/atom
space-group type	P4/mmm
formation energy from raw total energies	-2.994	eV/atom
total energy	-6.410	eV per atom

abc: 4.421 4.421 4.366
angles: 90.00 90.00 90.00
Fractional coordinates of all 5 atoms:
F (0.000, 0.500, 0.000)
F (0.500, 0.000, 0.000)
O (0.000, 0.000, 0.500)
Y (0.000, 0.000, 0.000)
Li (0.500, 0.500, 0.500)

***

No. 2
Density functional theory data (GGA-PBE) for a relaxed structure of Cu2PtPb.

## Properties
calculated formation energy	0.26	eV per atom
space-group type	R-3m
total energy	-4.221	eV per atom

abc: 8.466 8.466 8.466
angles: 21.32 21.32 21.32
Fractional coordinates of all 4 atoms:
Cu (0.008, 0.008, 0.008)
Cu (0.492, 0.492, 0.492)
Pt (0.750, 0.750, 0.750)
Pb (0.250, 0.250, 0.250)

***

No. 3
Density functional theory data (GGA-PBE) for a relaxed structure of Pr2NdSm5Dy.

## Properties
calculated formation energy	0.26	eV per atom
space-group type	I4/mcm
total energy	-4.461	eV per atom

abc: 8.812 8.812 10.151
angles: 115.72 115.72 90.00
Fractional coordinates of all 18 atoms:
Dy (0.250, 0.750, 0.500)
Dy (0.750, 0.250, 0.500)
Sm (0.149, 0.071, 0.721)
Sm (0.429, 0.351, 0.279)
Sm (0.851, 0.929, 0.279)
Sm (0.500, 0.500, 0.000)
Sm (0.571, 0.649, 0.721)
Sm (0.000, 0.000, 0.000)
Sm (0.649, 0.149, 0.721)
Sm (0.351, 0.851, 0.279)
Sm (0.929, 0.429, 0.279)
Sm (0.071, 0.571, 0.721)
Pr (0.119, 0.381, 0.000)
Pr (0.381, 0.881, 0.000)
Pr (0.881, 0.619, 0.000)
Pr (0.619, 0.119, 0.000)
Nd (0.250, 0.250, 0.500)
Nd (0.750, 0.750, 0.500)

***

No. 4
Density functional theory data (GGA-PBE) for a relaxed structure of CaTaAl4.

## Properties
calculated formation energy	-0.14	eV per atom
space-group type	F-43m
total energy	-4.940	eV per atom

abc: 5.347 5.347 5.347
angles: 60.00 60.00 60.00
Fractional coordinates of all 6 atoms:
Ta (0.000, 0.000, 0.000)
Al (0.877, 0.374, 0.374)
Al (0.374, 0.374, 0.877)
Al (0.374, 0.877, 0.374)
Al (0.374, 0.374, 0.374)
Ca (0.750, 0.750, 0.750)

***

No. 5
Density functional theory data (GGA-PBE) for a relaxed structure of Tb2PuIr.

## Properties
calculated formation energy	-0.31	eV per atom
polymorph energy (0 for the lowest one)	0.0000	eV/atom
space-group type	P4/mmm
total energy	-8.426	eV per atom

abc: 3.459 3.459 8.636
angles: 90.00 90.00 90.00
Site moments in Bohr magnetons follow the coordinates.
Fractional coordinates of all 4 atoms:
Tb (0.000, 0.000, 0.193)  0.19
Tb (0.000, 0.000, 0.807)  0.19
Pu (0.500, 0.500, 0.500)  5.75
Ir (0.500, 0.500, 0.000)  -0.01

***

No. 6
Density functional theory data (GGA-PBE) for a relaxed structure of MgHgF2.

## Properties
polymorph energy (0 for the lowest one)	0.0000	eV/atom
space-group type	R-3m
formation energy from raw total energies	-2.539	eV/atom
total energy	-3.948	eV per atom

abc: 9.116 9.116 9.116
angles: 20.11 20.11 20.11
Fractional coordinates of all 4 atoms:
F (0.133, 0.133, 0.133)
F (0.867, 0.867, 0.867)
Mg (0.500, 0.500, 0.500)
Hg (0.000, 0.000, 0.000)

***

No. 7
Density functional theory data (GGA-PBE) for a relaxed structure of Cr2TePb.

## Properties
polymorph energy (0 for the lowest one)	0.3020	eV/atom
space-group type	I-42d
formation energy from raw total energies	0.560	eV/atom
total energy	-5.965	eV per atom

abc: 7.666 7.666 6.342
angles: 52.82 52.82 90.00
Site moments in Bohr magnetons follow the coordinates.
Fractional coordinates of all 8 atoms:
Pb (0.000, 0.000, 0.000)  -0.11
Pb (0.750, 0.250, 0.500)  -0.11
Te (0.250, 0.750, 0.500)  -0.09
Te (0.500, 0.500, 0.000)  -0.09
Cr (0.375, 0.392, 0.750)  3.70
Cr (0.142, 0.625, 0.250)  3.69
Cr (0.608, 0.125, 0.250)  3.69
Cr (0.875, 0.858, 0.750)  3.70

***

No. 8
Density functional theory data (GGA-PBE) for a relaxed structure of HoThTl2.

## Properties
calculated formation energy	-0.20	eV per atom
space-group type	P4/mmm
total energy	-4.385	eV per atom

abc: 4.525 5.008 5.008
angles: 90.00 90.00 90.00
Fractional coordinates of all 4 atoms:
Tl (0.000, 0.000, 0.500)
Tl (0.000, 0.500, 0.000)
Ho (0.500, 0.500, 0.500)
Th (0.500, 0.000, 0.000)

***

No. 9
Density functional theory data (GGA-PBE) for a relaxed structure of SrLiIr2.

## Properties
calculated formation energy	0.11	eV per atom
polymorph energy (0 for the lowest one)	0.0274	eV/atom
space-group type	Pm
total energy	-5.224	eV per atom

abc: 4.394 2.924 5.786
angles: 78.71 90.00 90.00
Fractional coordinates of all 4 atoms:
Li (0.000, 0.343, 0.457)
Ir (0.500, 0.424, 0.217)
Ir (0.000, 0.986, 0.099)
Sr (0.500, 0.747, 0.727)

***

No. 10
Density functional theory data (GGA-PBE) for a relaxed structure of CuIr3.

## Properties
calculated formation energy	0.09	eV per atom
space-group type	Imm2
total energy	-7.577	eV per atom

abc: 4.702 5.167 2.731
angles: 74.67 90.00 117.07
Fractional coordinates of all 4 atoms:
Ir (0.504, 0.000, 0.500)
Ir (0.087, 0.510, 0.245)
Ir (0.576, 0.490, 0.755)
Cu (0.000, 0.000, 0.000)

***

No. 11
Density functional theory data (GGA-PBE) for a relaxed structure of NdSm3In.

## Properties
calculated formation energy	-0.19	eV per atom
polymorph energy (0 for the lowest one)	0.0000	eV/atom
space-group type	Cmcm
total energy	-4.518	eV per atom

abc: 4.925 4.915 13.100
angles: 90.00 79.17 90.00
Fractional coordinates of all 10 atoms:
Sm (0.876, 0.750, 0.895)
Sm (0.375, 0.250, 0.898)
Sm (0.075, 0.750, 0.499)
Sm (0.772, 0.250, 0.105)
Sm (0.273, 0.750, 0.102)
Sm (0.574, 0.250, 0.501)
In (0.978, 0.250, 0.693)
In (0.671, 0.750, 0.307)
Nd (0.174, 0.250, 0.300)
Nd (0.474, 0.750, 0.700)

***

No. 12
Density functional theory data (GGA-PBE) for a relaxed structure of K3RbNa8.

## Properties
calculated formation energy	0.00	eV per atom
space-group type	R3m
total energy	-1.233	eV per atom

abc: 7.405 7.405 13.035
angles: 73.50 73.50 60.00
Fractional coordinates of all 12 atoms:
Na (0.937, 0.435, 0.690)
Na (0.438, 0.939, 0.185)
Na (0.438, 0.438, 0.185)
Na (0.187, 0.187, 0.438)
Na (0.687, 0.687, 0.938)
Na (0.937, 0.937, 0.690)
Na (0.939, 0.438, 0.185)
Na (0.435, 0.937, 0.690)
K (0.001, 0.001, 0.998)
K (0.375, 0.375, 0.874)
K (0.499, 0.499, 0.503)
Rb (0.875, 0.875, 0.375)